(1)
Lu2AlRu | GGA-PBE | relaxed

Output
- Space group: R-3m, No. 166
- Excess energy over the best structure of this formula in the dataset: 635 meV per atom
- Formation enthalpy at 0 K: 0.12 eV per atom

abc: 3.3414 3.3414 10.1982
angles: 80.57 80.57 60.00
Positions (direct):
Ru  0.5000  0.5000  0.5000
Lu  0.1021  0.1021  0.6938
Lu  0.8979  0.8979  0.3062
Al  0.0000  0.0000  0.0000

(2)
Rb2ErBS4 | GGA-PBE | relaxed

Output
- Space group: Fddd, No. 70
- ΔE_f (raw): -873 kJ/mol of formula units

abc: 5.7709 7.6126 12.7008
angles: 85.06 76.87 67.73
Positions (direct):
Rb  0.1790  0.0000  0.6420
Rb  0.8210  0.0000  0.3580
Rb  0.5710  0.5000  0.8580
Rb  0.9290  0.5000  0.1420
Er  0.7500  0.5000  0.5000
Er  0.0000  0.0000  0.0000
B  0.2500  0.5000  0.5000
B  0.5000  0.0000  0.0000
S  0.3584  0.8273  0.0965
S  0.2822  0.1727  0.9035
S  0.8144  0.8273  0.9035
S  0.5451  0.1727  0.0965
S  0.3916  0.6727  0.4035
S  0.4678  0.3273  0.5965
S  0.9356  0.6727  0.5965
S  0.2049  0.3273  0.4035

(3)
Ho2TiGe2 | GGA-PBE | relaxed

Output
- Space group: Cmc2_1, No. 36
- Excess energy over the best structure of this formula in the dataset: 0 meV per atom
- Formation enthalpy at 0 K: -0.58 eV per atom

abc: 4.1546 7.3796 8.0727
angles: 90.00 104.91 90.00
Positions (direct):
Ho  0.9654  0.7378  0.9307
Ho  0.7957  0.3798  0.5914
Ho  0.2043  0.8798  0.4086
Ho  0.0346  0.2378  0.0693
Ti  0.4042  0.0885  0.8083
Ti  0.5958  0.5885  0.1917
Ge  0.4366  0.4417  0.8733
Ge  0.8232  0.9867  0.6465
Ge  0.1768  0.4867  0.3535
Ge  0.5634  0.9417  0.1267

no.,M_tot (μB/cell),DOS(E_F) (states/eV/cell)
1,0.00,3.62
2,0.00,0.00
3,2.14,10.23